1.
# KIn3Ga3Au4 (PBE, optimized geometry)
# Distance to the lowest polymorph of the same formula (kJ/mol of formula units): 4
# Space group: No. 187
data_KIn3Ga3Au4
_cell_length_a 8.046
_cell_length_b 8.046
_cell_length_c 4.372
_cell_angle_alpha 90.00
_cell_angle_beta 90.00
_cell_angle_gamma 120.00
_space_group_name_H-M_alt 'P 1'
_space_group_IT_number 1
loop_
_space_group_symop_operation_xyz
'x,y,z'
loop_
_atom_site_label
_atom_site_type_symbol
_atom_site_fract_x
_atom_site_fract_y
_atom_site_fract_z
Au1 Au 0.791 0.582 0.500
Au2 Au 0.418 0.209 0.500
Au3 Au 0.791 0.209 0.500
Au4 Au 0.333 0.667 0.000
In1 In 0.195 0.805 0.500
In2 In 0.195 0.390 0.500
In3 In 0.610 0.805 0.500
Ga1 Ga 0.537 0.075 0.000
Ga2 Ga 0.537 0.463 0.000
Ga3 Ga 0.925 0.463 0.000
K1 K 0.000 0.000 0.000



2.
# Cs3KSb2Au2 (PBE, optimized geometry)
# Space group: No. 6
data_Cs3KSb2Au2
_cell_length_a 6.896
_cell_length_b 7.224
_cell_length_c 7.143
_cell_angle_alpha 90.00
_cell_angle_beta 109.97
_cell_angle_gamma 90.00
_space_group_name_H-M_alt 'P 1'
_space_group_IT_number 1
loop_
_space_group_symop_operation_xyz
'x,y,z'
loop_
_atom_site_label
_atom_site_type_symbol
_atom_site_fract_x
_atom_site_fract_y
_atom_site_fract_z
Au1 Au 0.003 0.749 0.992
Au2 Au 0.003 0.251 0.992
Cs1 Cs 0.165 0.000 0.492
Cs2 Cs 0.497 0.500 0.844
Cs3 Cs 0.507 0.000 0.161
Sb1 Sb 0.759 0.000 0.746
Sb2 Sb 0.229 0.500 0.256
K1 K 0.837 0.500 0.517



The following energy values (in eV/f.u.) correspond, in order, to the records above: -34.3; -22.5.